[1]
This record from the Alexandria database describes a geometry-optimized PrSmErN3 structure. The functional is PBE.

abc: 6.109 3.559 9.181
angles: 90.00 101.83 90.00
Atoms (fractional coordinates):
Pr1 0.151 0.250 0.195
Pr2 0.849 0.750 0.805
Sm1 0.269 0.750 0.547
Sm2 0.731 0.250 0.453
Er1 0.354 0.250 0.861
Er2 0.646 0.750 0.139
N1 0.043 0.250 0.673
N2 0.259 0.750 0.987
N3 0.462 0.750 0.341
N4 0.538 0.250 0.659
N5 0.741 0.250 0.013
N6 0.957 0.750 0.327

Space group = P2_1/m
Total magnetization = 0.00 μB per formula unit


[2]
This record from the Alexandria database describes a geometry-optimized PrEr2SnN4 structure. The functional is PBE.

abc: 6.150 6.150 12.015
angles: 90.00 90.00 146.43
Atoms (fractional coordinates):
Pr1 0.114 0.886 0.750
Pr2 0.886 0.114 0.250
Er1 0.371 0.629 0.535
Er2 0.371 0.629 0.965
Er3 0.629 0.371 0.035
Er4 0.629 0.371 0.465
Sn1 0.149 0.851 0.250
Sn2 0.851 0.149 0.750
N1 0.000 0.000 0.000
N2 0.000 0.000 0.500
N3 0.264 0.736 0.117
N4 0.264 0.736 0.383
N5 0.448 0.552 0.750
N6 0.552 0.448 0.250
N7 0.736 0.264 0.617
N8 0.736 0.264 0.883

Space group = Cmcm
Total magnetization = 0.00 μB per formula unit


[3]
This record from the Alexandria database describes a geometry-optimized PrEr2TaN4 structure. The functional is PBE.

abc: 6.237 6.237 12.040
angles: 90.00 90.00 148.30
Atoms (fractional coordinates):
Pr1 0.097 0.903 0.750
Pr2 0.903 0.097 0.250
Er1 0.371 0.629 0.534
Er2 0.371 0.629 0.966
Er3 0.629 0.371 0.034
Er4 0.629 0.371 0.466
Ta1 0.164 0.836 0.250
Ta2 0.836 0.164 0.750
N1 0.000 0.000 0.000
N2 0.000 0.000 0.500
N3 0.259 0.741 0.119
N4 0.259 0.741 0.381
N5 0.437 0.563 0.750
N6 0.563 0.437 0.250
N7 0.741 0.259 0.619
N8 0.741 0.259 0.881

Space group = Cmcm
Total magnetization = 0.00 μB per formula unit


[4]
This record from the Alexandria database describes a geometry-optimized TbPrErN3 structure. The functional is PBE.

abc: 6.058 3.536 9.108
angles: 90.00 101.90 90.00
Atoms (fractional coordinates):
Tb1 0.231 0.250 0.455
Tb2 0.769 0.750 0.545
Pr1 0.347 0.750 0.803
Pr2 0.653 0.250 0.197
Er1 0.146 0.750 0.140
Er2 0.854 0.250 0.860
N1 0.035 0.250 0.655
N2 0.242 0.250 0.012
N3 0.457 0.750 0.332
N4 0.543 0.250 0.668
N5 0.758 0.750 0.988
N6 0.965 0.750 0.345

Space group = P2_1/m
Total magnetization = 0.00 μB per formula unit


[5]
This record from the Alexandria database describes a geometry-optimized PrEr2TcN4 structure. The functional is PBE.

abc: 6.092 6.092 11.528
angles: 90.00 90.00 147.01
Atoms (fractional coordinates):
Pr1 0.120 0.880 0.750
Pr2 0.880 0.120 0.250
Er1 0.369 0.631 0.540
Er2 0.369 0.631 0.960
Er3 0.631 0.369 0.040
Er4 0.631 0.369 0.460
Tc1 0.143 0.857 0.250
Tc2 0.857 0.143 0.750
N1 0.000 0.000 0.000
N2 0.000 0.000 0.500
N3 0.262 0.738 0.125
N4 0.262 0.738 0.375
N5 0.438 0.562 0.750
N6 0.562 0.438 0.250
N7 0.738 0.262 0.625
N8 0.738 0.262 0.875

Space group = Cmcm
Total magnetization = 0.00 μB per formula unit


[6]
This record from the Alexandria database describes a geometry-optimized Pr2ErTc2N6 structure. The functional is PBE.

abc: 6.819 6.819 6.819
angles: 49.99 49.99 49.99
Atoms (fractional coordinates):
Pr1 0.209 0.209 0.209
Pr2 0.791 0.791 0.791
Er1 0.000 0.000 0.000
Tc1 0.399 0.399 0.399
Tc2 0.601 0.601 0.601
N1 0.227 0.743 0.743
N2 0.257 0.257 0.773
N3 0.257 0.773 0.257
N4 0.743 0.227 0.743
N5 0.743 0.743 0.227
N6 0.773 0.257 0.257

Space group = R-3m
Total magnetization = 0.00 μB per formula unit


[7]
This record from the Alexandria database describes a geometry-optimized PrErTh2N4 structure. The functional is PBE.

abc: 6.228 3.625 6.297
angles: 90.00 109.52 90.00
Atoms (fractional coordinates):
Pr1 0.000 0.000 0.000
Er1 0.000 0.500 0.500
Th1 0.500 0.000 0.500
Th2 0.500 0.500 0.000
N1 0.251 0.000 0.741
N2 0.259 0.500 0.263
N3 0.741 0.500 0.737
N4 0.749 0.000 0.259

Space group = P2/m
Total magnetization = 0.00 μB per formula unit


[8]
This record from the Alexandria database describes a geometry-optimized PrErTiN3 structure. The functional is PBE.

abc: 7.248 3.547 7.748
angles: 90.00 99.15 90.00
Atoms (fractional coordinates):
Pr1 0.175 0.250 0.178
Pr2 0.825 0.750 0.822
Er1 0.365 0.750 0.848
Er2 0.635 0.250 0.152
Ti1 0.105 0.250 0.598
Ti2 0.895 0.750 0.402
N1 0.118 0.250 0.849
N2 0.173 0.750 0.515
N3 0.412 0.750 0.141
N4 0.588 0.250 0.859
N5 0.827 0.250 0.485
N6 0.882 0.750 0.151

Space group = P2_1/m
Total magnetization = 0.00 μB per formula unit


[9]
This record from the Alexandria database describes a geometry-optimized Pr3Er2UN6 structure. The functional is PBE.

abc: 6.085 6.085 6.217
angles: 99.39 99.39 119.92
Atoms (fractional coordinates):
Pr1 0.000 0.000 0.000
Pr2 0.331 0.669 0.000
Pr3 0.669 0.331 0.000
Er1 0.166 0.834 0.500
Er2 0.834 0.166 0.500
U1 0.500 0.500 0.500
N1 0.116 0.428 0.285
N2 0.259 0.259 0.718
N3 0.428 0.116 0.285
N4 0.572 0.884 0.715
N5 0.741 0.741 0.282
N6 0.884 0.572 0.715

Space group = C2/m
Total magnetization = 0.00 μB per formula unit


[10]
This record from the Alexandria database describes a geometry-optimized PrEr2VN4 structure. The functional is PBE.

abc: 6.109 6.109 11.651
angles: 90.00 90.00 147.86
Atoms (fractional coordinates):
Pr1 0.084 0.916 0.750
Pr2 0.916 0.084 0.250
Er1 0.371 0.629 0.542
Er2 0.371 0.629 0.958
Er3 0.629 0.371 0.042
Er4 0.629 0.371 0.458
V1 0.175 0.825 0.250
V2 0.825 0.175 0.750
N1 0.000 0.000 0.000
N2 0.000 0.000 0.500
N3 0.263 0.737 0.123
N4 0.263 0.737 0.377
N5 0.420 0.580 0.750
N6 0.580 0.420 0.250
N7 0.737 0.263 0.623
N8 0.737 0.263 0.877

Space group = Cmcm
Total magnetization = 0.23 μB per formula unit


Number 1: formation energy (no corrections) -1.370 eV/atom, V 195 Å³ per cell. Number 2: formation energy (no corrections) -0.901 eV/atom, V 251 Å³ per cell. Number 3: formation energy (no corrections) -1.317 eV/atom, V 246 Å³ per cell. Number 4: formation energy (no corrections) -1.413 eV/atom, V 191 Å³ per cell. Number 5: formation energy (no corrections) -1.112 eV/atom, V 233 Å³ per cell. Number 6: formation energy (no corrections) -0.647 eV/atom, V 171 Å³ per cell. Number 7: formation energy (no corrections) -1.542 eV/atom, V 134 Å³ per cell. Number 8: formation energy (no corrections) -1.315 eV/atom, V 197 Å³ per cell. Number 9: formation energy (no corrections) -1.516 eV/atom, V 189 Å³ per cell. Number 10: formation energy (no corrections) -1.397 eV/atom, V 231 Å³ per cell.